Version i
A plane-wave DFT calculation with PBE-GGA was carried out for an optimized crystal structure of TcP.

abc: 5.757 5.757 4.327
angles: 90.00 90.00 90.00
Atoms (fractional coordinates):
Tc  0.324  0.676  0.500
Tc  0.824  0.824  0.000
Tc  0.676  0.324  0.500
Tc  0.176  0.176  0.000
P  0.719  0.719  0.500
P  0.281  0.281  0.500
P  0.219  0.781  0.000
P  0.781  0.219  0.000

Output
**ρ**: 5973 kg/m3
**Size of the total moment**: 0.000 μB per cell

---

Version ii
A plane-wave DFT calculation with PBE-GGA was carried out for an optimized crystal structure of TcP.

abc: 4.439 4.439 4.391
angles: 75.83 75.83 39.64
Atoms (fractional coordinates):
Tc  0.119  0.119  0.708
Tc  0.881  0.881  0.292
P  0.620  0.620  0.164
P  0.380  0.380  0.836

Output
**ρ**: 8036 kg/m3
**Size of the total moment**: 0.000 μB per cell

---

Version iii
A plane-wave DFT calculation with PBE-GGA was carried out for an optimized crystal structure of TcP.

abc: 3.072 6.249 5.717
angles: 90.00 90.00 90.00
Atoms (fractional coordinates):
P  0.750  0.559  0.689
P  0.250  0.059  0.811
P  0.750  0.941  0.189
P  0.250  0.441  0.311
Tc  0.250  0.800  0.491
Tc  0.750  0.200  0.509
Tc  0.250  0.700  0.991
Tc  0.750  0.300  0.009

Output
**ρ**: 7806 kg/m3
**Size of the total moment**: 0.000 μB per cell

---

Version iv
A plane-wave DFT calculation with PBE-GGA was carried out for an optimized crystal structure of TcP.

abc: 4.289 4.289 4.289
angles: 60.00 60.00 60.00
Atoms (fractional coordinates):
P  0.750  0.750  0.750
P  0.500  0.500  0.500
Tc  0.000  0.000  0.000
Tc  0.250  0.250  0.250

Output
**ρ**: 7675 kg/m3
**Size of the total moment**: 0.001 μB per cell

---

The most stable structure shown above is version iii; the least stable is version iv.